A geometry-optimized Zn4Cu2Au3 structure, computed with PBE-GGA.

Cell lengths 2.9269, 7.6967, 7.6967 Å; angles 56.29, 79.04, 79.04 degrees
With the nearest neighbours (Å) after each atom.
Atoms (fractional coordinates):
1 Zn 0.8318 0.4904 0.8461  1 Cu 2.48, 1 Zn 2.58, 3 Au 2.73-2.77
2 Zn 0.8318 0.8461 0.4904  1 Cu 2.48, 1 Zn 2.58, 3 Au 2.73-2.77
3 Au 0.5000 0.5000 0.5000  4 Cu 2.79, 2 Au 2.93, 8 Zn 2.96
4 Cu 0.0000 0.8266 0.1734  2 Zn 2.48, 1 Cu 2.52, 4 Au 2.77
5 Zn 0.1682 0.1539 0.5096  1 Cu 2.48, 1 Zn 2.58, 3 Au 2.73-2.77
6 Cu 0.0000 0.1734 0.8266  2 Zn 2.48, 1 Cu 2.52, 4 Au 2.77
7 Au 0.6503 0.8497 0.8497  6 Zn 2.73-2.77, 4 Cu 2.77, 2 Au 2.93
8 Zn 0.1682 0.5096 0.1539  1 Cu 2.48, 1 Zn 2.58, 3 Au 2.73-2.77
9 Au 0.3497 0.1503 0.1503  6 Zn 2.73-2.77, 4 Cu 2.77, 2 Au 2.93

Values from the calculation:
Space group: Immm, No. 71
DFT formation energy in eV/atom: -0.0857
Excess energy over the best structure of this formula in the dataset in meV/atom: 65